[1]
Below is crystalline Ca2AgTe2 at its relaxed geometry, with properties calculated at the PBE-GGA level.

Properties
The density comes out at 5.04 Mg/m³. The value obtained for the energy above the most stable polymorph in this dataset is 0.0000 eV/atom. The space-group type is P4/mbm. The value obtained for the size of the total moment is 0.000 μB per atom. For the density of states at the Fermi level, the calculation gives 6.4 states/eV per cell. The uncorrected formation energy comes out at -4.8 eV per formula unit.

The structure in POSCAR format:
```
Ca2AgTe2
1.0
8.4330 0.0000 0.0000
0.0000 8.4330 0.0000
0.0000 0.0000 4.1045
Te Ca Ag
4 4 2
Direct
0.6574 0.1574 0.0000
0.1574 0.3426 0.0000
0.8426 0.6574 0.0000
0.3426 0.8426 0.0000
0.8487 0.3487 0.5000
0.6513 0.8487 0.5000
0.1513 0.6513 0.5000
0.3487 0.1513 0.5000
0.0000 0.0000 0.0000
0.5000 0.5000 0.0000
```


[2]
Below is crystalline Ca2Ag2Te at its relaxed geometry, with properties calculated at the PBE-GGA level.

Properties
The density comes out at 5.20 Mg/m³. The value obtained for the energy above the most stable polymorph in this dataset is 0.0000 eV/atom. The space-group type is I4/mmm. The value obtained for the size of the total moment is 0.000 μB per atom. For the density of states at the Fermi level, the calculation gives 2.8 states/eV per cell. The uncorrected formation energy comes out at -3.0 eV per formula unit.

The structure in POSCAR format:
```
Ca2Ag2Te
1.0
-2.5455 -1.0461 -2.8230
-1.4192 -2.8434 2.3334
-7.8446 3.6253 2.9771
Ag Ca Te
2 2 1
Direct
0.2500 0.7500 0.5000
0.7500 0.2500 0.5000
0.6060 0.6060 0.7880
0.3940 0.3940 0.2120
0.0000 0.0000 0.0000
```


[3]
Below is crystalline CaAgTe at its relaxed geometry, with properties calculated at the PBE-GGA level.

Properties
The density comes out at 5.52 Mg/m³. The value obtained for the energy above the most stable polymorph in this dataset is 0.0000 eV/atom. The space-group type is P3m1. The value obtained for the size of the total moment is 0.000 μB per atom. For the density of states at the Fermi level, the calculation gives 1.4 states/eV per cell. The uncorrected formation energy comes out at -1.9 eV per formula unit.

The structure in POSCAR format:
```
CaAgTe
1.0
4.6245 0.0000 0.0000
-2.3123 4.0049 0.0000
0.0000 0.0000 4.4791
Ag Te Ca
1 1 1
Direct
0.0000 0.0000 0.9503
0.3333 0.6667 0.7368
0.6667 0.3333 0.3129
```